This record from the Alexandria database describes a relaxed PmTiZnIr2 crystal. The functional is PBE-GGA.

Structure (extended XYZ):
```
5
Lattice="-2.030 2.030 5.774 2.030 -2.030 5.774 2.030 2.030 -5.774" Properties=species:S:1:pos:R:3 pbc="T T T"
Pm 0.000 0.000 0.000
Ti 0.000 2.030 2.887
Zn 2.030 0.000 2.887
Ir 0.000 0.000 4.476
Ir 0.000 0.000 7.072
```

Calculated values
For the total energy, the calculation gives -6.97 eV/atom. The value obtained for the energy of formation is -0.64 eV/atom. As for the space-group type: I-4m2 (119).

This record from the Alexandria database describes a relaxed Ho2Hg2Pd crystal. The functional is PBE-GGA.

Structure (extended XYZ):
```
5
Lattice="1.788 -9.753 0.000 1.788 9.753 0.000 0.000 0.000 3.474" Properties=species:S:1:pos:R:3 pbc="T T T"
Ho 1.788 8.053 0.000
Ho 1.788 -8.053 0.000
Hg 1.788 3.703 1.737
Hg 1.788 -3.703 1.737
Pd 1.788 0.000 1.737
```

Calculated values
For the total energy, the calculation gives -3.51 eV/atom. The value obtained for the energy of formation is -0.52 eV/atom. As for the space-group type: Cmmm (65).